# PBE-GGA PuHAu, optimized geometry
# Magnetization in μB per formula unit: 1.255
# Energy in eV per atom: -7.01
data_PuHAu
_symmetry_space_group_name_H-M 'I m m a'
_symmetry_Int_Tables_number 74
_symmetry_space_group_name_Hall '-I 2b 2'
_cell_length_a 3.738
_cell_length_b 4.749
_cell_length_c 9.537
_cell_angle_alpha 90.00
_cell_angle_beta 90.00
_cell_angle_gamma 90.00
loop_
_atom_site_label
_atom_site_type_symbol
_atom_site_fract_x
_atom_site_fract_y
_atom_site_fract_z
Pu1 Pu 0.000 0.250 0.173
H1 H 0.000 0.250 0.922
Au1 Au 0.000 0.250 0.597